The following is a DFT calculation (GGA-PBE) of crystalline Ac3Dy2Y at its relaxed geometry.

Unit cell a=6.5604 b=6.5604 c=12.5356 alpha=110.49 beta=110.49 gamma=70.16
Atoms (fractional coordinates):
Ac 0.1254 0.8746 0.7500
Ac 0.2084 0.4576 0.9164
Ac 0.4576 0.2084 0.4164
Ac 0.5424 0.7916 0.5836
Ac 0.7916 0.5424 0.0836
Ac 0.8746 0.1254 0.2500
Dy 0.0415 0.2908 0.5827
Dy 0.2908 0.0415 0.0827
Dy 0.7092 0.9585 0.9173
Dy 0.9585 0.7092 0.4173
Y 0.3747 0.6253 0.2500
Y 0.6253 0.3747 0.7500

- Symmetry: C2/c, No. 15
- DFT formation energy: 0.079 eV per atom
- Calculated density: 7.927 g cm⁻³
- Total energy: -4.5868 eV/atom